Entry from Alexandria: a relaxed K3DyCr2O8 crystal (GGA+U).

Raw total energy = -6.43 eV per atom
DOS(E_F) = 0.52 states/eV per atom

Unit cell a=5.968 b=5.968 c=7.664 alpha=90.00 beta=90.00 gamma=120.00
Fractional coordinates of all 14 atoms:
K 0.000 0.000 0.000
K 0.333 0.667 0.685
K 0.667 0.333 0.315
Dy 0.000 0.000 0.500
Cr 0.333 0.667 0.241
Cr 0.667 0.333 0.759
O 0.176 0.351 0.326
O 0.176 0.824 0.326
O 0.333 0.667 0.024
O 0.351 0.176 0.674
O 0.649 0.824 0.326
O 0.667 0.333 0.976
O 0.824 0.176 0.674
O 0.824 0.649 0.674